VASP calculation (PBE-GGA) on crystalline TmCdInRu at its relaxed geometry.

Cell: 4.846 4.846 4.846 Å, 60.00 60.00 60.00°
Element x y z (fractional)
Cd1 0.250 0.250 0.250
Tm1 0.000 0.000 0.000
Ru1 0.750 0.750 0.750
In1 0.500 0.500 0.500

Computed properties:
Theoretical density = 10.3 Mg/m³

VASP calculation (PBE-GGA) on crystalline AcGeAu2 at its relaxed geometry.

Cell: 3.884 3.884 6.562 Å, 90.00 90.00 90.00°
Element x y z (fractional)
Ac1 0.500 0.500 0.500
Au1 0.000 0.000 0.778
Au2 0.000 0.000 0.222
Ge1 0.500 0.500 0.000

Computed properties:
Theoretical density = 11.6 Mg/m³

no.,formation energy (eV per atom)
1,-0.12
2,-0.37